A plane-wave DFT calculation with PBE was carried out for crystalline SrMg14C at its relaxed geometry.

```
data_SrMg14C
_chemical_formula_sum 'Sr2 Mg28 C2'
_cell_length_a 10.737
_cell_length_b 6.135
_cell_length_c 11.416
_cell_angle_alpha 90.00
_cell_angle_beta 90.00
_cell_angle_gamma 90.00
_symmetry_space_group_name_H-M 'A m m 2'
_symmetry_Int_Tables_number 38
loop_
_symmetry_equiv_pos_as_xyz
'x,y,z'
'-x,-y,z'
'-x,y,z'
'x,-y,z'
'x,y+1/2,z+1/2'
'-x,-y+1/2,z+1/2'
'-x,y+1/2,z+1/2'
'x,-y+1/2,z+1/2'
loop_
_atom_site_label
_atom_site_type_symbol
_atom_site_fract_x
_atom_site_fract_y
_atom_site_fract_z
Sr1 Sr 0.000 0.000 0.000
Mg1 Mg 0.000 0.224 0.270
Mg2 Mg 0.148 0.000 0.585
Mg3 Mg 0.262 0.246 0.873
Mg4 Mg 0.265 0.000 0.133
Mg5 Mg 0.500 0.000 0.472
Mg6 Mg 0.500 0.000 0.966
Mg7 Mg 0.500 0.246 0.716
C1 C 0.000 0.000 0.432
```

Calculated values
Spin magnetization: 0.00 μB/cell
Energy of formation: 0.212 eV/atom
E above lowest polymorph: 0 meV per atom